No. 1
# PBE SrTbEr, relaxed
# Total moment   0.0 μB per formula unit
# N(E_F)   1.663 states/eV/atom
# Energy of formation   164.2 meV per atom
# Energy above the most stable polymorph in this dataset   25 meV/atom
data_SrTbEr
_chemical_formula_sum 'Sr1 Tb1 Er1'
_space_group_name_H-M_alt 'P 3 m 1'
_space_group_IT_number 156
_cell_length_a 3.7057
_cell_length_b 3.7057
_cell_length_c 9.2311
_cell_angle_alpha 90.00
_cell_angle_beta 90.00
_cell_angle_gamma 120.00
loop_
_space_group_symop_operation_xyz
'x,y,z'
'-y,x-y,z'
'-x+y,-x,z'
'-y,-x,z'
'-x+y,y,z'
'x,x-y,z'
loop_
_atom_site_label
_atom_site_fract_x
_atom_site_fract_y
_atom_site_fract_z
Sr1 0.0000 0.0000 0.0000
Tb1 0.3333 0.6667 0.6430
Er1 0.6667 0.3333 0.3513

No. 2
# PBE AlV8Mo2, relaxed
# Total moment   0.0 μB per formula unit
# N(E_F)   1.104 states/eV/atom
# Energy of formation   154.0 meV per atom
data_AlV8Mo2
_chemical_formula_sum 'Al1 V8 Mo2'
_space_group_name_H-M_alt 'P 1'
_space_group_IT_number 1
_cell_length_a 2.9048
_cell_length_b 6.1442
_cell_length_c 9.3785
_cell_angle_alpha 73.53
_cell_angle_beta 89.68
_cell_angle_gamma 89.80
loop_
_space_group_symop_operation_xyz
'x,y,z'
loop_
_atom_site_label
_atom_site_fract_x
_atom_site_fract_y
_atom_site_fract_z
Al1 0.0000 0.0000 0.0000
V1 0.1429 0.2304 0.2197
V2 0.2536 0.0873 0.5727
V3 0.3022 0.7681 0.2546
V4 0.4246 0.3913 0.9306
V5 0.5898 0.6074 0.0639
V6 0.7260 0.2304 0.7407
V7 0.7753 0.9119 0.4223
V8 0.8850 0.7694 0.7763
Mo1 0.2875 0.5821 0.5947
Mo2 0.7419 0.4172 0.4008

No. 3
# PBE Si2RuAu, relaxed
# Total moment   0.0 μB per formula unit
# E_form (uncorrected)   0.19 eV per atom
# N(E_F)   0.417 states/eV/atom
# Energy above the most stable polymorph in this dataset   390 meV/atom
data_Si2RuAu
_chemical_formula_sum 'Si8 Ru4 Au4'
_space_group_name_H-M_alt 'I -4 2 d'
_space_group_IT_number 122
_space_group_name_Hall 'I -4 2bw'
_cell_length_a 5.5073
_cell_length_b 5.5073
_cell_length_c 10.8713
_cell_angle_alpha 90.00
_cell_angle_beta 90.00
_cell_angle_gamma 90.00
loop_
_atom_site_label
_atom_site_fract_x
_atom_site_fract_y
_atom_site_fract_z
Si1 0.2224 0.2500 0.1250
Ru1 0.0000 0.0000 0.0000
Au1 0.0000 0.0000 0.5000

No. 4
# PBE Pm12NdY7, relaxed
# Total moment   2.0 μB per formula unit
# N(E_F)   1.902 states/eV/atom
# Energy of formation   98.4 meV per atom
# Energy above the most stable polymorph in this dataset   0 meV/atom
data_Pm12NdY7
_chemical_formula_sum 'Pm36 Nd3 Y21'
_space_group_name_H-M_alt 'R -3 m'
_space_group_IT_number 166
_space_group_name_Hall '-R 3 2"'
_cell_length_a 13.4553
_cell_length_b 13.4553
_cell_length_c 12.9852
_cell_angle_alpha 90.00
_cell_angle_beta 90.00
_cell_angle_gamma 120.00
loop_
_atom_site_label
_atom_site_fract_x
_atom_site_fract_y
_atom_site_fract_z
Pm1 0.0000 0.2616 0.0000
Pm2 0.0895 0.1790 0.7683
Nd1 0.0000 0.0000 0.5000
Y1 0.0000 0.0000 0.0000
Y2 0.0412 0.5206 0.1190

No. 5
# PBE Sr9Sn3N2, relaxed
# Total moment   0.7 μB per formula unit
# E_form (uncorrected)   -0.65 eV per atom
# N(E_F)   0.722 states/eV/atom
data_Sr9Sn3N2
_chemical_formula_sum 'Sr9 Sn3 N2'
_space_group_name_H-M_alt 'P -3 m 1'
_space_group_IT_number 164
_space_group_name_Hall '-P 3 2"'
_cell_length_a 7.4823
_cell_length_b 7.4823
_cell_length_c 9.1927
_cell_angle_alpha 90.00
_cell_angle_beta 90.00
_cell_angle_gamma 120.00
loop_
_atom_site_label
_atom_site_fract_x
_atom_site_fract_y
_atom_site_fract_z
Sr1 0.0000 0.5000 0.0000
Sr2 0.1748 0.3496 0.6781
Sn1 0.0000 0.0000 0.0000
Sn2 0.3333 0.6667 0.3376
N1 0.3333 0.6667 0.8286

No. 6
# PBE Sr3Al2Ge3, relaxed
# Total moment   0.0 μB per formula unit
# N(E_F)   0.284 states/eV/atom
# Energy of formation   -493.3 meV per atom
# Energy above the most stable polymorph in this dataset   21 meV/atom
data_Sr3Al2Ge3
_chemical_formula_sum 'Sr12 Al8 Ge12'
_space_group_name_H-M_alt 'C m c m'
_space_group_IT_number 63
_space_group_name_Hall '-C 2c 2'
_cell_length_a 4.4886
_cell_length_b 12.2933
_cell_length_c 15.1002
_cell_angle_alpha 90.00
_cell_angle_beta 90.00
_cell_angle_gamma 90.00
loop_
_atom_site_label
_atom_site_fract_x
_atom_site_fract_y
_atom_site_fract_z
Sr1 0.0000 0.0690 0.1087
Sr2 0.0000 0.3461 0.2500
Al1 0.0000 0.2358 0.5936
Ge1 0.0000 0.3447 0.7500
Ge2 0.0000 0.3617 0.0468

No. 7
# PBE TmCuPd, relaxed
# Total moment   0.0 μB per formula unit
# N(E_F)   0.740 states/eV/atom
# Energy of formation   -565.5 meV per atom
# Energy above the most stable polymorph in this dataset   77 meV/atom
data_TmCuPd
_chemical_formula_sum 'Tm2 Cu2 Pd2'
_space_group_name_H-M_alt 'I 4 m m'
_space_group_IT_number 107
_space_group_name_Hall 'I 4 -2'
_cell_length_a 3.5255
_cell_length_b 3.5255
_cell_length_c 8.7300
_cell_angle_alpha 90.00
_cell_angle_beta 90.00
_cell_angle_gamma 90.00
loop_
_atom_site_label
_atom_site_fract_x
_atom_site_fract_y
_atom_site_fract_z
Tm1 0.0000 0.0000 0.0000
Cu1 0.0000 0.0000 0.6733
Pd1 0.0000 0.0000 0.3316

No. 8
# PBE ZrNb2Ru3, relaxed
# Total moment   0.0 μB per formula unit
# N(E_F)   0.838 states/eV/atom
# Energy of formation   -328.9 meV per atom
# Energy above the most stable polymorph in this dataset   0 meV/atom
data_ZrNb2Ru3
_chemical_formula_sum 'Zr1 Nb2 Ru3'
_space_group_name_H-M_alt 'P 4/m m m'
_space_group_IT_number 123
_space_group_name_Hall '-P 4 2'
_cell_length_a 3.1259
_cell_length_b 3.1259
_cell_length_c 10.1964
_cell_angle_alpha 90.00
_cell_angle_beta 90.00
_cell_angle_gamma 90.00
loop_
_atom_site_label
_atom_site_fract_x
_atom_site_fract_y
_atom_site_fract_z
Zr1 0.0000 0.0000 0.0000
Nb1 0.0000 0.0000 0.3350
Ru1 0.5000 0.5000 0.1795
Ru2 0.5000 0.5000 0.5000